[1]
The following is a PBE-GGA calculation of an optimized crystal structure of Bi2Se2I, from Alexandria.

The structure belongs to space group P4/mbm (No. 127); the cell edges are 9.117, 9.117 and 4.007 Å and the angles 90.00°, 90.00° and 90.00°. The distinct sites, in fractional coordinates, are Bi at (0.215, 0.285, 0.000), Se at (0.139, 0.639, 0.500) and I at (0.000, 0.000, 0.000).

The value obtained for the energy above the lowest structure with this stoichiometry is 53 meV per atom. For the calculated total energy, the calculation gives -3.4308 eV per atom. The value obtained for the spin magnetization is 0.000 μB/cell.


[2]
The following is a PBE-GGA calculation of an optimized crystal structure of Tb2ErRh, from Alexandria.

The structure belongs to space group R-3m (No. 166, hexagonal axes); the cell edges are 3.7438, 3.7438 and 28.2146 Å and the angles 90.00°, 90.00° and 120.00°. The distinct sites, in fractional coordinates, are Tb at (0.0000, 0.0000, 0.2275), Er at (0.0000, 0.0000, 0.0000) and Rh at (0.0000, 0.0000, 0.5000).

The value obtained for the energy above the lowest structure with this stoichiometry is 227 meV per atom. Its energy of formation is -0.30 eV/atom. For the calculated total energy, the calculation gives -5.5923 eV per atom. The value obtained for the spin magnetization is 1.812 μB/cell.


[3]
The following is a PBE-GGA calculation of an optimized crystal structure of TaAlZn, from Alexandria.

The structure belongs to space group F-43m (No. 216); the cell edges are 6.214, 6.214 and 6.214 Å and the angles 90.00°, 90.00° and 90.00°. The distinct sites, in fractional coordinates, are Ta at (0.000, 0.000, 0.000), Al at (0.250, 0.250, 0.250) and Zn at (0.250, 0.250, 0.750).

Its energy of formation is 0.67 eV/atom. For the calculated total energy, the calculation gives -4.9514 eV per atom. The value obtained for the spin magnetization is 0.000 μB/cell.